Run 1
Computed, not measured: a geometry-optimized ReAgRu structure at the GGA-PBE level of DFT.

## Properties
Space group: F-43m
D(E_F) (states/eV per cell): 4.62

a b c (Å): 4.2444 4.2444 4.2444
angles (deg): 60.00 60.00 60.00
Last column: nearest neighbours and their distance in Å.
Atoms (fractional coordinates):
Ag: 0.0000 0.0000 0.0000  4 Ru 2.60
Re: 0.5000 0.5000 0.5000  4 Ru 2.60
Ru: 0.7500 0.7500 0.7500  4 Re 2.60, 4 Ag 2.60



Run 2
Computed, not measured: a geometry-optimized ReAgRu structure at the GGA-PBE level of DFT.

## Properties
Space group: I4mm
D(E_F) (states/eV per cell): 3.17

a b c (Å): 6.2419 6.2419 6.2419
angles (deg): 153.79 153.79 37.41
Last column: nearest neighbours and their distance in Å.
Atoms (fractional coordinates):
Ag: 0.0002 0.0002 0.0000  4 Ag 2.83, 4 Ru 2.94, 4 Re 2.95
Re: 0.3173 0.3173 0.0000  4 Ru 2.56, 4 Re 2.83
Ru: 0.6825 0.6825 0.0000  4 Re 2.56, 4 Ru 2.83



Stability check: which of them is most stable? run 2.



Run 1
Computed, not measured: a geometry-optimized Re2AgRu2 structure at the GGA-PBE level of DFT.

## Properties
Space group: P4/mbm
D(E_F) (states/eV per cell): 11.06

a b c (Å): 7.5891 7.5891 2.7409
angles (deg): 90.00 90.00 90.00
Last column: nearest neighbours and their distance in Å.
Atoms (fractional coordinates):
Re: 0.1649 0.6649 0.5000  6 Ru 2.62-2.63, 2 Re 2.74
Re: 0.6649 0.8351 0.5000  6 Ru 2.62-2.63, 2 Re 2.74
Re: 0.8351 0.3351 0.5000  6 Ru 2.62-2.63, 2 Re 2.74
Re: 0.3351 0.1649 0.5000  6 Ru 2.62-2.63, 2 Re 2.74
Ag: 0.0000 0.0000 0.0000  2 Ag 2.74, 4 Ru 2.99
Ag: 0.5000 0.5000 0.0000  2 Ag 2.74, 4 Ru 2.99
Ru: 0.3738 0.8738 0.0000  6 Re 2.62-2.63, 3 Ru 2.71-2.74
Ru: 0.8738 0.6262 0.0000  6 Re 2.62-2.63, 3 Ru 2.71-2.74
Ru: 0.6262 0.1262 0.0000  6 Re 2.62-2.63, 3 Ru 2.71-2.74
Ru: 0.1262 0.3738 0.0000  6 Re 2.62-2.63, 3 Ru 2.71-2.74



Run 2
Computed, not measured: a geometry-optimized Re2AgRu2 structure at the GGA-PBE level of DFT.

## Properties
Space group: P4/mbm
D(E_F) (states/eV per cell): 7.22

a b c (Å): 7.6267 7.6267 2.7418
angles (deg): 90.00 90.00 90.00
Last column: nearest neighbours and their distance in Å.
Atoms (fractional coordinates):
Re: 0.3786 0.8786 0.0000  6 Ru 2.61-2.67, 3 Re 2.62-2.74
Re: 0.8786 0.6214 0.0000  6 Ru 2.61-2.67, 3 Re 2.62-2.74
Re: 0.6214 0.1214 0.0000  6 Ru 2.61-2.67, 3 Re 2.62-2.74
Re: 0.1214 0.3786 0.0000  6 Ru 2.61-2.67, 3 Re 2.62-2.74
Ag: 0.0000 0.0000 0.0000  2 Ag 2.74, 4 Re 3.03
Ag: 0.5000 0.5000 0.0000  2 Ag 2.74, 4 Re 3.03
Ru: 0.1664 0.6664 0.5000  6 Re 2.61-2.67, 2 Ru 2.74
Ru: 0.6664 0.8336 0.5000  6 Re 2.61-2.67, 2 Ru 2.74
Ru: 0.8336 0.3336 0.5000  6 Re 2.61-2.67, 2 Ru 2.74
Ru: 0.3336 0.1664 0.5000  6 Re 2.61-2.67, 2 Ru 2.74



Stability check: which of them is most stable? run 2.



Run 1
Computed, not measured: a geometry-optimized ReAgS2 structure at the GGA-PBE level of DFT.

## Properties
Space group: Fm-3m
D(E_F) (states/eV per cell): 0.05

a b c (Å): 4.3851 4.3851 4.3851
angles (deg): 60.00 60.00 60.00
Last column: nearest neighbours and their distance in Å.
Atoms (fractional coordinates):
Re: 0.5000 0.5000 0.5000  8 S 2.69
S: 0.2500 0.2500 0.2500  4 Re 2.69, 4 Ag 2.69
S: 0.7500 0.7500 0.7500  4 Re 2.69, 4 Ag 2.69
Ag: 0.0000 0.0000 0.0000  8 S 2.69



Run 2
Computed, not measured: a geometry-optimized ReAgS2 structure at the GGA-PBE level of DFT.

## Properties
Space group: I-42d
D(E_F) (states/eV per cell): 4.40

a b c (Å): 5.5777 5.5777 6.7462
angles (deg): 65.58 65.58 90.00
Last column: nearest neighbours and their distance in Å.
Atoms (fractional coordinates):
Re: 0.0000 0.0000 0.0000  4 S 2.26
Re: 0.7500 0.2500 0.5000  4 S 2.26
S: 0.6715 0.1250 0.2500  2 Re 2.26
S: 0.0785 0.6250 0.2500  2 Re 2.26
S: 0.3750 0.3285 0.7500  2 Re 2.26
S: 0.8750 0.9215 0.7500  2 Re 2.26
Ag: 0.5000 0.5000 0.0000  4 S 2.56
Ag: 0.2500 0.7500 0.5000  4 S 2.56



Stability check: which of them is most stable? run 2.



Run 1
Computed, not measured: a geometry-optimized Re3AgS structure at the GGA-PBE level of DFT.

## Properties
Space group: Pm-3m
D(E_F) (states/eV per cell): 8.64

a b c (Å): 4.8114 4.8114 4.8114
angles (deg): 90.00 90.00 90.00
Last column: nearest neighbours and their distance in Å.
Atoms (fractional coordinates):
Re: 0.0000 0.5000 0.0000  2 Ag 2.41
Re: 0.0000 0.0000 0.5000  2 Ag 2.41
Re: 0.5000 0.0000 0.0000  2 Ag 2.41
S: 0.5000 0.5000 0.5000  12 Re 3.40
Ag: 0.0000 0.0000 0.0000  6 Re 2.41



Run 2
Computed, not measured: a geometry-optimized Re3AgS structure at the GGA-PBE level of DFT.

## Properties
Space group: Pm-3m
D(E_F) (states/eV per cell): 2.53

a b c (Å): 4.3658 4.3658 4.3658
angles (deg): 90.00 90.00 90.00
Last column: nearest neighbours and their distance in Å.
Atoms (fractional coordinates):
Re: 0.0000 0.5000 0.0000  2 S 2.18
Re: 0.0000 0.0000 0.5000  2 S 2.18
Re: 0.5000 0.0000 0.0000  2 S 2.18
S: 0.0000 0.0000 0.0000  6 Re 2.18
Ag: 0.5000 0.5000 0.5000  12 Re 3.09



Stability check: which of them is most stable? run 2.



Run 1
Computed, not measured: a geometry-optimized ReAg3S structure at the GGA-PBE level of DFT.

## Properties
Space group: Pm-3m
D(E_F) (states/eV per cell): 4.06

a b c (Å): 4.7933 4.7933 4.7933
angles (deg): 90.00 90.00 90.00
Last column: nearest neighbours and their distance in Å.
Atoms (fractional coordinates):
Re: 0.5000 0.5000 0.5000  12 Ag 3.39
S: 0.0000 0.0000 0.0000  6 Ag 2.40
Ag: 0.0000 0.5000 0.0000  2 S 2.40
Ag: 0.0000 0.0000 0.5000  2 S 2.40
Ag: 0.5000 0.0000 0.0000  2 S 2.40



Run 2
Computed, not measured: a geometry-optimized ReAg3S structure at the GGA-PBE level of DFT.

## Properties
Space group: Pm-3m
D(E_F) (states/eV per cell): 5.75

a b c (Å): 5.0446 5.0446 5.0446
angles (deg): 90.00 90.00 90.00
Last column: nearest neighbours and their distance in Å.
Atoms (fractional coordinates):
Re: 0.0000 0.0000 0.0000  6 Ag 2.52
S: 0.5000 0.5000 0.5000  12 Ag 3.57
Ag: 0.0000 0.5000 0.0000  2 Re 2.52
Ag: 0.0000 0.0000 0.5000  2 Re 2.52
Ag: 0.5000 0.0000 0.0000  2 Re 2.52



Stability check: which of them is most stable? run 1.



Run 1
Computed, not measured: a geometry-optimized ReAg2Sb2 structure at the GGA-PBE level of DFT.

## Properties
Space group: P4/mbm
D(E_F) (states/eV per cell): 6.72

a b c (Å): 7.0063 7.0063 4.3309
angles (deg): 90.00 90.00 90.00
Last column: nearest neighbours and their distance in Å.
Atoms (fractional coordinates):
Re: 0.0000 0.0000 0.0000  4 Sb 2.66
Re: 0.5000 0.5000 0.0000  4 Sb 2.66
Ag: 0.1565 0.6565 0.5000  6 Sb 2.88-3.06, 1 Ag 3.10
Ag: 0.6565 0.8435 0.5000  6 Sb 2.88-3.06, 1 Ag 3.10
Ag: 0.8435 0.3435 0.5000  6 Sb 2.88-3.06, 1 Ag 3.10
Ag: 0.3435 0.1565 0.5000  6 Sb 2.88-3.06, 1 Ag 3.10
Sb: 0.3479 0.8479 0.0000  2 Re 2.66, 2 Ag 2.88
Sb: 0.8479 0.6521 0.0000  2 Re 2.66, 2 Ag 2.88
Sb: 0.6521 0.1521 0.0000  2 Re 2.66, 2 Ag 2.88
Sb: 0.1521 0.3479 0.0000  2 Re 2.66, 2 Ag 2.88



Run 2
Computed, not measured: a geometry-optimized ReAg2Sb2 structure at the GGA-PBE level of DFT.

## Properties
Space group: I4/mmm
D(E_F) (states/eV per cell): 3.03

a b c (Å): 3.5619 3.5619 8.9797
angles (deg): 78.56 78.56 90.00
Last column: nearest neighbours and their distance in Å.
Atoms (fractional coordinates):
Re: 0.0000 0.0000 0.0000  8 Sb 2.96
Ag: 0.7500 0.2500 0.5000  4 Ag 2.52
Ag: 0.2500 0.7500 0.5000  4 Ag 2.52
Sb: 0.4098 0.4098 0.1805  4 Re 2.96, 1 Sb 3.11, 4 Ag 3.28
Sb: 0.5903 0.5903 0.8195  4 Re 2.96, 1 Sb 3.11, 4 Ag 3.28



Stability check: which of them is most stable? run 1.



Run 1
Computed, not measured: a geometry-optimized ReAgSb3 structure at the GGA-PBE level of DFT.

## Properties
Space group: Pm-3m
D(E_F) (states/eV per cell): 3.87

a b c (Å): 5.2593 5.2593 5.2593
angles (deg): 90.00 90.00 90.00
Last column: nearest neighbours and their distance in Å.
Atoms (fractional coordinates):
Re: 0.5000 0.5000 0.5000  12 Sb 3.72
Ag: 0.0000 0.0000 0.0000  6 Sb 2.63
Sb: 0.0000 0.5000 0.0000  2 Ag 2.63
Sb: 0.0000 0.0000 0.5000  2 Ag 2.63
Sb: 0.5000 0.0000 0.0000  2 Ag 2.63



Run 2
Computed, not measured: a geometry-optimized ReAgSb3 structure at the GGA-PBE level of DFT.

## Properties
Space group: Pm-3m
D(E_F) (states/eV per cell): 6.34

a b c (Å): 5.1959 5.1959 5.1959
angles (deg): 90.00 90.00 90.00
Last column: nearest neighbours and their distance in Å.
Atoms (fractional coordinates):
Re: 0.0000 0.0000 0.0000  6 Sb 2.60
Ag: 0.5000 0.5000 0.5000  12 Sb 3.67
Sb: 0.0000 0.5000 0.0000  2 Re 2.60
Sb: 0.0000 0.0000 0.5000  2 Re 2.60
Sb: 0.5000 0.0000 0.0000  2 Re 2.60



Stability check: which of them is most stable? run 2.



Run 1
Computed, not measured: a geometry-optimized Sc2ReAg2 structure at the GGA-PBE level of DFT.

## Properties
Space group: P4/mbm
D(E_F) (states/eV per cell): 13.19

a b c (Å): 7.7957 7.7957 3.0644
angles (deg): 90.00 90.00 90.00
Last column: nearest neighbours and their distance in Å.
Atoms (fractional coordinates):
Sc: 0.1803 0.6803 0.5000  6 Ag 2.66-2.85
Sc: 0.6803 0.8197 0.5000  6 Ag 2.66-2.85
Sc: 0.8197 0.3197 0.5000  6 Ag 2.66-2.85
Sc: 0.3197 0.1803 0.5000  6 Ag 2.66-2.85
Re: 0.0000 0.0000 0.0000  2 Re 3.06, 4 Ag 3.10, 8 Sc 3.25
Re: 0.5000 0.5000 0.0000  2 Re 3.06, 4 Ag 3.10, 8 Sc 3.25
Ag: 0.3778 0.8778 0.0000  6 Sc 2.66-2.85, 1 Ag 2.69
Ag: 0.8778 0.6222 0.0000  6 Sc 2.66-2.85, 1 Ag 2.69
Ag: 0.6222 0.1222 0.0000  6 Sc 2.66-2.85, 1 Ag 2.69
Ag: 0.1222 0.3778 0.0000  6 Sc 2.66-2.85, 1 Ag 2.69



Run 2
Computed, not measured: a geometry-optimized Sc2ReAg2 structure at the GGA-PBE level of DFT.

## Properties
Space group: I4/mmm
D(E_F) (states/eV per cell): 6.55

a b c (Å): 5.1624 5.1624 5.3681
angles (deg): 61.26 61.26 90.00
Last column: nearest neighbours and their distance in Å.
Atoms (fractional coordinates):
Sc: 0.7500 0.2500 0.5000  4 Ag 2.68
Sc: 0.2500 0.7500 0.5000  4 Ag 2.68
Re: 0.0000 0.0000 0.0000  2 Ag 2.71
Ag: 0.3437 0.3437 0.3127  1 Ag 2.46, 4 Sc 2.68, 1 Re 2.71
Ag: 0.6563 0.6563 0.6873  1 Ag 2.46, 4 Sc 2.68, 1 Re 2.71



Stability check: which of them is most stable? run 1.



Run 1
Computed, not measured: a geometry-optimized ReAgSe2 structure at the GGA-PBE level of DFT.

## Properties
Space group: F-43m
D(E_F) (states/eV per cell): 2.93

a b c (Å): 4.7087 4.7087 4.7087
angles (deg): 60.00 60.00 60.00
Last column: nearest neighbours and their distance in Å.
Atoms (fractional coordinates):
Ag: 0.5000 0.5000 0.5000  4 Se 2.88, 4 Re 2.88
Re: 0.2500 0.2500 0.2500  4 Se 2.88, 4 Ag 2.88
Se: 0.0000 0.0000 0.0000  4 Se 2.88, 4 Re 2.88
Se: 0.7500 0.7500 0.7500  4 Ag 2.88, 4 Se 2.88



Run 2
Computed, not measured: a geometry-optimized ReAgSe2 structure at the GGA-PBE level of DFT.

## Properties
Space group: Imm2
D(E_F) (states/eV per cell): 3.23

a b c (Å): 6.9532 6.9532 6.9532
angles (deg): 154.53 147.19 41.99
Last column: nearest neighbours and their distance in Å.
Atoms (fractional coordinates):
Ag: 0.4360 0.4360 0.0000  6 Se 2.80-3.00, 2 Ag 3.07
Re: 0.2166 0.7166 0.5000  6 Se 2.49-2.63
Se: 0.0655 0.0655 0.0000  2 Re 2.49
Se: 0.7819 0.2819 0.5000  4 Re 2.63, 2 Ag 2.80



Stability check: which of them is most stable? run 2.



Run 1
Computed, not measured: a geometry-optimized ReAgSe2 structure at the GGA-PBE level of DFT.

## Properties
Space group: R-3m
D(E_F) (states/eV per cell): 2.15

a b c (Å): 9.4768 9.4768 9.4768
angles (deg): 19.26 19.26 19.26
Last column: nearest neighbours and their distance in Å.
Atoms (fractional coordinates):
Re: 0.5000 0.5000 0.5000  6 Se 2.55
Se: 0.8971 0.8971 0.8971  3 Re 2.55
Se: 0.1029 0.1029 0.1029  3 Re 2.55
Ag: 0.0000 0.0000 0.0000  2 Se 2.87, 6 Ag 3.17



Run 2
Computed, not measured: a geometry-optimized ReAgSe2 structure at the GGA-PBE level of DFT.

## Properties
Space group: Fm-3m
D(E_F) (states/eV per cell): 1.02

a b c (Å): 4.5779 4.5779 4.5779
angles (deg): 60.00 60.00 60.00
Last column: nearest neighbours and their distance in Å.
Atoms (fractional coordinates):
Re: 0.5000 0.5000 0.5000  8 Se 2.80
Se: 0.2500 0.2500 0.2500  4 Re 2.80, 4 Ag 2.80
Se: 0.7500 0.7500 0.7500  4 Re 2.80, 4 Ag 2.80
Ag: 0.0000 0.0000 0.0000  8 Se 2.80



Run 3
Computed, not measured: a geometry-optimized ReAgSe2 structure at the GGA-PBE level of DFT.

## Properties
Space group: Cmm2
D(E_F) (states/eV per cell): 2.74

a b c (Å): 2.8916 2.8916 10.2678
angles (deg): 90.00 90.00 115.37
Last column: nearest neighbours and their distance in Å.
Atoms (fractional coordinates):
Ag: 0.0000 0.0000 0.5197  2 Re 2.88, 6 Ag 2.89-3.09, 2 Se 2.90
Re: 0.5000 0.5000 0.7559  2 Se 2.47
Se: 0.0000 0.0000 0.9433  2 Re 2.47
Se: 0.5000 0.5000 0.2811  6 Se 2.89-3.09, 2 Ag 2.90



Run 4
Computed, not measured: a geometry-optimized ReAgSe2 structure at the GGA-PBE level of DFT.

## Properties
Space group: P4mm
D(E_F) (states/eV per cell): 3.04

a b c (Å): 2.9557 2.9557 9.2530
angles (deg): 90.00 90.00 90.00
Last column: nearest neighbours and their distance in Å.
Atoms (fractional coordinates):
Ag: 0.0000 0.0000 0.5318  4 Ag 2.96, 4 Re 2.96, 4 Se 3.02
Re: 0.5000 0.5000 0.7580  4 Se 2.54
Se: 0.0000 0.0000 0.9147  4 Re 2.54
Se: 0.5000 0.5000 0.2955  4 Se 2.96, 4 Ag 3.02



Stability check: which of them is most stable? run 1.



Run 1
Computed, not measured: a geometry-optimized ReAgSe structure at the GGA-PBE level of DFT.

## Properties
Space group: Fmm2
D(E_F) (states/eV per cell): 2.14

a b c (Å): 7.9032 7.6532 2.8998
angles (deg): 84.15 74.44 21.41
Last column: nearest neighbours and their distance in Å.
Atoms (fractional coordinates):
Ag: 0.9846 0.9846 0.0154  2 Re 2.86, 6 Ag 2.90-3.01
Re: 0.3227 0.3227 0.6773  2 Se 2.46
Se: 0.6927 0.6927 0.3073  2 Re 2.46



Run 2
Computed, not measured: a geometry-optimized ReAgSe structure at the GGA-PBE level of DFT.

## Properties
Space group: P3m1
D(E_F) (states/eV per cell): 1.57

a b c (Å): 3.0537 3.0537 6.9389
angles (deg): 90.00 90.00 120.00
Last column: nearest neighbours and their distance in Å.
Atoms (fractional coordinates):
Ag: 0.0000 0.0000 0.0295  3 Re 2.91, 6 Ag 3.05
Re: 0.6667 0.3333 0.3631  3 Se 2.45
Se: 0.3333 0.6667 0.6074  3 Re 2.45



Stability check: which of them is most stable? run 2.



Run 1
Computed, not measured: a geometry-optimized ReAgSe structure at the GGA-PBE level of DFT.

## Properties
Space group: P-6m2
D(E_F) (states/eV per cell): 2.76

a b c (Å): 4.6967 4.6967 2.6587
angles (deg): 90.00 90.00 120.00
Last column: nearest neighbours and their distance in Å.
Atoms (fractional coordinates):
Ag: 0.0000 0.0000 0.0006  2 Ag 2.66
Re: 0.6667 0.3333 0.4999  2 Re 2.66, 3 Se 2.71
Se: 0.3333 0.6667 0.4995  2 Se 2.66, 3 Re 2.71



Run 2
Computed, not measured: a geometry-optimized ReAgSe structure at the GGA-PBE level of DFT.

## Properties
Space group: F-43m
D(E_F) (states/eV per cell): 1.29

a b c (Å): 4.3232 4.3232 4.3232
angles (deg): 60.00 60.00 60.00
Last column: nearest neighbours and their distance in Å.
Atoms (fractional coordinates):
Ag: 0.5000 0.5000 0.5000  4 Re 2.65
Re: 0.7500 0.7500 0.7500  4 Se 2.65, 4 Ag 2.65
Se: 0.0000 0.0000 0.0000  4 Re 2.65



Run 3
Computed, not measured: a geometry-optimized ReAgSe structure at the GGA-PBE level of DFT.

## Properties
Space group: I4mm
D(E_F) (states/eV per cell): 2.37

a b c (Å): 6.5448 6.5448 6.5448
angles (deg): 153.51 153.51 37.81
Last column: nearest neighbours and their distance in Å.
Atoms (fractional coordinates):
Ag: 0.9784 0.9784 0.0000  4 Re 2.90, 4 Ag 3.00
Re: 0.3182 0.3182 0.0000  4 Se 2.55
Se: 0.7034 0.7034 0.0000  4 Re 2.55



Stability check: which of them is most stable? run 3.